Entry 1:
RbFeIr | PBE | optimized geometry

Computed properties:
Energy of formation from the pure elements ... 522 meV per atom

Lattice parameters (Å, degrees): 4.1613 4.1613 10.3740 90.00 90.00 90.00
Atoms (fractional coordinates):
Rb 0.0000 0.5000 0.1964
Rb 0.5000 0.0000 0.8036
Fe 0.0000 0.0000 0.5000
Fe 0.5000 0.5000 0.5000
Ir 0.0000 0.5000 0.6269
Ir 0.5000 0.0000 0.3731

=====

Entry 2:
RbFe2Ir | PBE | optimized geometry

Computed properties:
Energy of formation from the pure elements ... 1308 meV per atom

Lattice parameters (Å, degrees): 4.6365 4.6365 4.6365 60.00 60.00 60.00
Atoms (fractional coordinates):
Ir 0.5000 0.5000 0.5000
Fe 0.7500 0.7500 0.7500
Fe 0.2500 0.2500 0.2500
Rb 0.0000 0.0000 0.0000

=====

Entry 3:
RbFeIr | PBE | optimized geometry

Computed properties:
Energy of formation from the pure elements ... 390 meV per atom

Lattice parameters (Å, degrees): 10.6525 4.9724 4.8510 119.19 89.92 83.12
Atoms (fractional coordinates):
Ir 0.5371 0.0313 0.4441
Ir 0.6055 0.0082 0.9323
Rb 0.8529 0.9291 0.3924
Rb 0.2898 0.1139 0.9865
Fe 0.5714 0.5197 0.4381
Fe 0.5715 0.5197 0.9381

=====

Entry 4:
RbFeIr | PBE | optimized geometry

Computed properties:
Energy of formation from the pure elements ... 807 meV per atom

Lattice parameters (Å, degrees): 3.9200 3.9200 11.6810 90.00 90.00 120.00
Atoms (fractional coordinates):
Ir 0.6667 0.3333 0.2500
Ir 0.3333 0.6667 0.7500
Fe 0.6667 0.3333 0.7500
Fe 0.3333 0.6667 0.2500
Rb 0.0000 0.0000 0.5000
Rb 0.0000 0.0000 0.0000

=====

Entry 5:
RbFeIr2 | PBE | optimized geometry

Computed properties:
Energy of formation from the pure elements ... 1100 meV per atom

Lattice parameters (Å, degrees): 5.2079 5.2079 8.4989 72.16 72.16 90.00
Atoms (fractional coordinates):
Ir 0.3750 0.6249 0.7500
Ir 0.3749 0.6250 0.2500
Ir 0.8750 0.6251 0.7500
Ir 0.3751 0.1250 0.2500
Fe 0.2500 0.7500 0.5000
Fe 0.5000 0.5000 0.0000
Rb 0.0000 0.0000 0.0000
Rb 0.7500 0.2500 0.5000

=====

Entry 6:
RbFeIr | PBE | optimized geometry

Computed properties:
Energy of formation from the pure elements ... 807 meV per atom

Lattice parameters (Å, degrees): 3.9198 3.9198 5.8429 90.00 90.00 120.00
Atoms (fractional coordinates):
Rb 0.6667 0.3333 0.5000
Fe 0.0000 0.0000 0.0000
Ir 0.3333 0.6667 0.0000

=====

Which formula does entry 4 have? RbFeIr